No. 1
Compound: Ta2CdTeP
Source: Alexandria via LeMat-Bulk
Functional: PBE
Structure: optimized geometry

Output
The density comes out at 9.07 Mg/m³. For the energy relative to the elements, uncorrected, the calculation gives 0.7425 eV per atom. As for the space group: P4/mmm, No. 123. The electronic total energy comes out at -0.433 Ry/atom. The value obtained for the volume is 23.18 Å³ per atom.

a b c (Å): 4.6747 4.6747 5.3031
angles (deg): 90.00 90.00 90.00
Last column: nearest neighbours and their distance in Å.
Sites, in units of the cell vectors:
Ta 0.0000 0.5000 0.0000  2 P 2.34
Ta 0.5000 0.0000 0.0000  2 P 2.34
Cd 0.0000 0.0000 0.5000  4 Te 3.31, 8 Ta 3.53
Te 0.5000 0.5000 0.5000  2 P 2.65
P 0.5000 0.5000 0.0000  4 Ta 2.34

No. 2
Compound: Tb2CdP
Source: Alexandria via LeMat-Bulk
Functional: PBE
Structure: optimized geometry

Output
The density comes out at 7.27 Mg/m³. As for the space group: R-3m, No. 166. The electronic total energy comes out at -0.352 Ry/atom. The value obtained for the volume is 26.35 Å³ per atom.

a b c (Å): 8.2436 8.2436 8.2436
angles (deg): 27.50 27.50 27.50
Last column: nearest neighbours and their distance in Å.
Sites, in units of the cell vectors:
Tb 0.2341 0.2341 0.2341  3 P 2.77
Tb 0.7659 0.7659 0.7659  3 P 2.77
Cd 0.0000 0.0000 0.0000  6 Tb 3.27
P 0.5000 0.5000 0.5000  6 Tb 2.77

No. 3
Compound: TbCdP2
Source: Alexandria via LeMat-Bulk
Functional: PBE
Structure: optimized geometry

Output
The density comes out at 6.25 Mg/m³. As for the space group: R-3m, No. 166. The electronic total energy comes out at -0.341 Ry/atom. The value obtained for the volume is 22.14 Å³ per atom.

a b c (Å): 6.5318 6.5318 6.5318
angles (deg): 36.57 36.57 36.57
Last column: nearest neighbours and their distance in Å.
Sites, in units of the cell vectors:
Tb 0.0000 0.0000 0.0000  6 P 2.82
Cd 0.5000 0.5000 0.5000  6 P 2.81
P 0.2493 0.2493 0.2493  3 Cd 2.81, 3 Tb 2.82
P 0.7507 0.7507 0.7507  3 Cd 2.81, 3 Tb 2.82

No. 4
Compound: Tb3CdP
Source: Alexandria via LeMat-Bulk
Functional: PBE
Structure: optimized geometry

Output
The density comes out at 6.90 Mg/m³. As for the space group: Pm-3m, No. 221. The electronic total energy comes out at -0.337 Ry/atom. The value obtained for the volume is 29.83 Å³ per atom.

a b c (Å): 5.3031 5.3031 5.3031
angles (deg): 90.00 90.00 90.00
Last column: nearest neighbours and their distance in Å.
Sites, in units of the cell vectors:
Tb 0.0000 0.0000 0.5000  2 P 2.65
Tb 0.0000 0.5000 0.0000  2 P 2.65
Tb 0.5000 0.0000 0.0000  2 P 2.65
Cd 0.5000 0.5000 0.5000  12 Tb 3.75
P 0.0000 0.0000 0.0000  6 Tb 2.65

No. 5
Compound: CdTc2P
Source: Alexandria via LeMat-Bulk
Functional: PBE
Structure: optimized geometry

Output
The density comes out at 9.22 Mg/m³. As for the space group: P4/mmm, No. 123. The electronic total energy comes out at -0.502 Ry/atom. The value obtained for the volume is 15.29 Å³ per atom.

a b c (Å): 2.9646 2.9646 6.9572
angles (deg): 90.00 90.00 90.00
Last column: nearest neighbours and their distance in Å.
Sites, in units of the cell vectors:
Cd 0.0000 0.0000 0.0000  4 Cd 2.96, 8 Tc 3.02
Tc 0.5000 0.5000 0.3128  4 P 2.47, 1 Tc 2.60
Tc 0.5000 0.5000 0.6872  4 P 2.47, 1 Tc 2.60
P 0.0000 0.0000 0.5000  8 Tc 2.47

No. 6
Compound: CdTc2P
Source: Alexandria via LeMat-Bulk
Functional: PBE
Structure: optimized geometry

Output
The density comes out at 8.93 Mg/m³. As for the space group: P2/m, No. 10. The electronic total energy comes out at -0.493 Ry/atom. The value obtained for the volume is 15.78 Å³ per atom.

a b c (Å): 2.9989 3.5532 6.0390
angles (deg): 90.00 101.22 90.00
Last column: nearest neighbours and their distance in Å.
Sites, in units of the cell vectors:
Cd 0.0000 0.0000 0.0000  8 Tc 2.88-2.97, 2 Cd 3.00, 2 P 3.02
Tc 0.3514 0.5000 0.7005  2 P 2.29
Tc 0.6486 0.5000 0.2995  2 P 2.29
P 0.0000 0.0000 0.5000  4 Tc 2.29

No. 7
Compound: Cd3TcP
Source: Alexandria via LeMat-Bulk
Functional: PBE
Structure: optimized geometry

Output
The density comes out at 6.21 Mg/m³. As for the space group: Pm-3m, No. 221. The electronic total energy comes out at -0.191 Ry/atom. The value obtained for the volume is 24.95 Å³ per atom.

a b c (Å): 4.9965 4.9965 4.9965
angles (deg): 90.00 90.00 90.00
Last column: nearest neighbours and their distance in Å.
Sites, in units of the cell vectors:
Cd 0.0000 0.0000 0.5000  2 P 2.50
Cd 0.0000 0.5000 0.0000  2 P 2.50
Cd 0.5000 0.0000 0.0000  2 P 2.50
Tc 0.5000 0.5000 0.5000  12 Cd 3.53
P 0.0000 0.0000 0.0000  6 Cd 2.50

No. 8
Compound: CdTc2P
Source: Alexandria via LeMat-Bulk
Functional: PBE
Structure: optimized geometry

Output
The density comes out at 8.02 Mg/m³. As for the space group: Cm, No. 8. The electronic total energy comes out at -0.493 Ry/atom. The value obtained for the volume is 17.57 Å³ per atom.

a b c (Å): 3.5157 3.5157 6.8623
angles (deg): 104.82 104.82 60.15
Last column: nearest neighbours and their distance in Å.
Sites, in units of the cell vectors:
Cd 0.0000 0.0000 0.0000  6 Tc 2.99-3.03, 1 P 3.29
Tc 0.2202 0.2202 0.6583  3 P 2.29
Tc 0.4454 0.4454 0.3361  3 P 2.29
P 0.8330 0.8330 0.4977  6 Tc 2.29

- Which value of density does entry 8 give?
  8.02 Mg/m³

- What is the formula in the second record?
  Tb2CdP

- The highest electronic total energy belongs to which entry?
  Cd3TcP